No. 1
Here is a geometry-optimized TcAgF2 structure from Alexandria. Energies are from PBE.

It has space group R-3m (No. 166, hexagonal axes), with a = 2.7626 Å, b = 2.7626 Å, c = 27.0840 Å, α = 90.00°, β = 90.00° and γ = 120.00°. The asymmetric unit holds Tc at (0.0000, 0.0000, 0.0000), Ag at (0.0000, 0.0000, 0.5000) and F at (0.0000, 0.0000, 0.0702).

For the density of states at the Fermi level, the calculation gives 3.28 states/eV/f.u. The value obtained for the energy is -5.1255 eV per atom.

***

No. 2
Here is a geometry-optimized K2SnPtRh structure from Alexandria. Energies are from PBE.

It has space group P4/mmm (No. 123), with a = 5.889 Å, b = 5.889 Å, c = 4.798 Å, α = 90.00°, β = 90.00° and γ = 90.00°. The asymmetric unit holds K at (0.000, 0.500, 0.000), Sn at (0.000, 0.000, 0.500), Pt at (0.500, 0.500, 0.500) and Rh at (0.500, 0.500, 0.000).

For the density of states at the Fermi level, the calculation gives 8.68 states/eV/f.u. The value obtained for the formation energy is 0.70 eV per atom.

***

No. 3
Here is a geometry-optimized In2HgAuCl structure from Alexandria. Energies are from PBE.

It has space group P4/mmm (No. 123), with a = 5.372 Å, b = 5.372 Å, c = 5.363 Å, α = 90.00°, β = 90.00° and γ = 90.00°. The asymmetric unit holds In at (0.000, 0.500, 0.000), Hg at (0.000, 0.000, 0.500), Au at (0.000, 0.000, 0.000) and Cl at (0.500, 0.500, 0.500).

For the density of states at the Fermi level, the calculation gives 1.44 states/eV/f.u. The value obtained for the energy is -2.4440 eV per atom.

***

No. 4
Here is a geometry-optimized YCdAu structure from Alexandria. Energies are from PBE.

It has space group F-43m (No. 216), with a = 6.918 Å, b = 6.918 Å, c = 6.918 Å, α = 90.00°, β = 90.00° and γ = 90.00°. The asymmetric unit holds Y at (0.000, 0.000, 0.000), Cd at (0.250, 0.250, 0.250) and Au at (0.250, 0.250, 0.750).

For the density of states at the Fermi level, the calculation gives 2.17 states/eV/f.u. The value obtained for the formation energy is -0.17 eV per atom.

***

No. 5
Here is a geometry-optimized Cs3ThBi2Se6 structure from Alexandria. Energies are from PBE.

It has space group C2/m (No. 12), with a = 8.078 Å, b = 13.057 Å, c = 8.638 Å, α = 90.00°, β = 107.89° and γ = 90.00°. The asymmetric unit holds Cs at (0.000, 0.000, 0.000), Cs at (0.000, 0.329, 0.000), Th at (0.000, 0.500, 0.500), Bi at (0.000, 0.170, 0.500), Se at (0.214, 0.334, 0.690) and Se at (0.243, 0.000, 0.686).

For the density of states at the Fermi level, the calculation gives 3.73 states/eV/f.u. The value obtained for the energy is -4.2658 eV per atom.

***

No. 6
Here is a geometry-optimized ThScI6 structure from Alexandria. Energies are from PBE.

It has space group C2/m (No. 12), with a = 8.069 Å, b = 14.031 Å, c = 7.262 Å, α = 90.00°, β = 91.65° and γ = 90.00°. The asymmetric unit holds Th at (0.000, 0.000, 0.000), Sc at (0.000, 0.000, 0.500), I at (0.150, 0.150, 0.271) and I at (0.199, 0.500, 0.256).

For the density of states at the Fermi level, the calculation gives 1.49 states/eV/f.u. The value obtained for the energy is -4.1016 eV per atom.

***

Number 1: V 14.918 Å³ per atom. Number 2: V 33.276 Å³ per atom. Number 3: V 30.957 Å³ per atom. Number 4: V 27.592 Å³ per atom. Number 5: V 36.125 Å³ per atom. Number 6: V 51.370 Å³ per atom.